[1]
Sr2ZnN (PBE, optimized geometry); formation energy without anion corrections = -126 meV/atom; distance to the lowest polymorph of the same formula = 114 meV per atom; size of the total moment = 0.00 Bohr magnetons per cell
1.0
3.380 0.000 0.000
0.000 3.380 0.000
0.000 0.000 7.682
Sr Zn N
2 1 1
Direct
0.000 0.000 0.185 Sr
0.000 0.000 0.815 Sr
0.500 0.500 0.500 Zn
0.500 0.500 0.000 N


[2]
SrZn2N2 (PBE, optimized geometry); formation energy without anion corrections = -272 meV/atom; size of the total moment = 0.00 Bohr magnetons per cell
1.0
3.573 0.000 0.000
-1.786 3.094 0.000
0.000 0.000 6.279
Sr Zn N
1 2 2
Direct
0.000 0.000 0.000 Sr
0.333 0.667 0.371 Zn
0.667 0.333 0.629 Zn
0.333 0.667 0.725 N
0.667 0.333 0.275 N


[3]
SrZnN3 (PBE, optimized geometry); formation energy without anion corrections = 989 meV/atom; size of the total moment = 2.89 Bohr magnetons per cell
1.0
4.008 0.000 0.000
0.000 4.008 0.000
0.000 0.000 4.008
Sr Zn N
1 1 3
Direct
0.000 0.000 0.000 Sr
0.500 0.500 0.500 Zn
0.000 0.500 0.500 N
0.500 0.000 0.500 N
0.500 0.500 0.000 N


[4]
Sr2Zn4N (PBE, optimized geometry); formation energy without anion corrections = 140 meV/atom; size of the total moment = 0.00 Bohr magnetons per cell
1.0
-2.224 2.224 8.318
2.224 -2.224 8.318
2.224 2.224 -8.318
Sr Zn N
2 4 1
Direct
0.171 0.171 0.000 Sr
0.829 0.829 0.000 Sr
0.000 0.500 0.500 Zn
0.376 0.376 0.000 Zn
0.500 0.000 0.500 Zn
0.624 0.624 0.000 Zn
0.500 0.500 0.000 N


[5]
Sr2ZnN (PBE, optimized geometry); formation energy without anion corrections = -161 meV/atom; distance to the lowest polymorph of the same formula = 80 meV per atom; size of the total moment = 0.00 Bohr magnetons per cell
1.0
-3.770 3.770 4.127
3.770 -3.770 4.127
3.770 3.770 -4.127
Sr Zn N
4 2 2
Direct
0.030 0.625 0.905 Sr
0.375 0.280 0.405 Sr
0.720 0.125 0.095 Sr
0.875 0.970 0.595 Sr
0.250 0.750 0.500 Zn
0.500 0.500 0.000 Zn
0.000 0.000 0.000 N
0.750 0.250 0.500 N


[6]
Sr6Zn2N (PBE, optimized geometry); formation energy without anion corrections = -65 meV/atom; distance to the lowest polymorph of the same formula = 191 meV per atom; size of the total moment = 0.00 Bohr magnetons per cell
1.0
7.301 -2.211 0.000
7.301 2.211 0.000
-4.105 0.000 11.214
Sr Zn N
6 2 1
Direct
0.013 0.013 0.297 Sr
0.175 0.175 0.596 Sr
0.349 0.349 0.945 Sr
0.651 0.651 0.055 Sr
0.825 0.825 0.404 Sr
0.987 0.987 0.703 Sr
0.316 0.316 0.196 Zn
0.684 0.684 0.804 Zn
0.000 0.000 0.500 N


[7]
Sr2ZnN (PBE, optimized geometry); formation energy without anion corrections = -240 meV/atom; distance to the lowest polymorph of the same formula = 0 meV per atom; size of the total moment = 0.00 Bohr magnetons per cell
1.0
1.899 1.096 9.474
-1.899 1.096 9.474
0.000 -2.193 9.474
Sr Zn N
2 1 1
Direct
0.118 0.118 0.118 Sr
0.882 0.882 0.882 Sr
0.000 0.000 0.000 Zn
0.500 0.500 0.500 N


[8]
SrZn2N2 (PBE, optimized geometry); formation energy without anion corrections = -237 meV/atom; size of the total moment = 0.00 Bohr magnetons per cell
1.0
3.199 -5.202 0.000
3.199 5.202 0.000
-0.003 0.000 6.321
Sr Zn N
3 6 6
Direct
0.000 0.000 0.000 Sr
0.175 0.825 0.500 Sr
0.825 0.175 0.500 Sr
0.195 0.520 0.138 Zn
0.369 0.369 0.649 Zn
0.480 0.805 0.862 Zn
0.520 0.195 0.138 Zn
0.631 0.631 0.351 Zn
0.805 0.480 0.862 Zn
0.138 0.473 0.803 N
0.261 0.261 0.322 N
0.473 0.138 0.803 N
0.527 0.862 0.197 N
0.739 0.739 0.678 N
0.862 0.527 0.197 N


[9]
SrZnN3 (PBE, optimized geometry); formation energy without anion corrections = 2190 meV/atom; size of the total moment = 7.00 Bohr magnetons per cell
1.0
4.917 0.000 0.000
0.000 4.917 0.000
0.000 0.000 4.917
Sr Zn N
1 1 3
Direct
0.000 0.000 0.000 Sr
0.500 0.500 0.500 Zn
0.000 0.000 0.500 N
0.000 0.500 0.000 N
0.500 0.000 0.000 N


[10]
Sr3ZnN (PBE, optimized geometry); formation energy without anion corrections = -294 meV/atom; distance to the lowest polymorph of the same formula = 35 meV per atom; size of the total moment = 0.00 Bohr magnetons per cell
1.0
5.319 0.000 0.000
0.000 5.163 0.000
-0.010 0.000 10.793
Sr Zn N
6 2 2
Direct
0.000 0.250 0.108 Sr
0.000 0.750 0.892 Sr
0.001 0.750 0.373 Sr
0.500 0.250 0.837 Sr
0.500 0.750 0.163 Sr
0.999 0.250 0.627 Sr
0.499 0.250 0.419 Zn
0.501 0.750 0.581 Zn
0.000 0.250 0.856 N
0.000 0.750 0.144 N


[11]
SrZrN2 (PBE, optimized geometry); formation energy without anion corrections = -1242 meV/atom; size of the total moment = 0.00 Bohr magnetons per cell
1.0
-2.903 2.903 4.362
2.903 -2.903 4.362
2.903 2.903 -4.362
Sr Zr N
2 2 4
Direct
0.000 0.000 0.000 Sr
0.750 0.250 0.500 Sr
0.250 0.750 0.500 Zr
0.500 0.500 0.000 Zr
0.194 0.625 0.069 N
0.375 0.444 0.569 N
0.556 0.125 0.931 N
0.875 0.806 0.431 N


[12]
SrZr3N (PBE, optimized geometry); formation energy without anion corrections = 2911 meV/atom; distance to the lowest polymorph of the same formula = 3115 meV per atom; size of the total moment = 0.00 Bohr magnetons per cell
1.0
5.098 0.000 0.000
0.000 5.098 0.000
0.000 0.000 5.098
Sr Zr N
1 3 1
Direct
0.000 0.000 0.000 Sr
0.000 0.000 0.500 Zr
0.000 0.500 0.000 Zr
0.500 0.000 0.000 Zr
0.500 0.500 0.500 N


[13]
Sr2ZrN (PBE, optimized geometry); formation energy without anion corrections = -197 meV/atom; size of the total moment = 0.00 Bohr magnetons per cell
1.0
-5.310 5.310 2.142
5.310 -5.310 2.142
5.310 5.310 -2.142
Sr Zr N
4 2 2
Direct
0.375 0.211 0.336 Sr
0.789 0.125 0.164 Sr
0.875 0.039 0.664 Sr
0.961 0.625 0.836 Sr
0.250 0.750 0.500 Zr
0.500 0.500 0.000 Zr
0.000 0.000 0.000 N
0.750 0.250 0.500 N


[14]
SrZrN2 (PBE, optimized geometry); formation energy without anion corrections = -1289 meV/atom; size of the total moment = 0.00 Bohr magnetons per cell
1.0
1.699 0.981 5.941
-1.699 0.981 5.941
0.000 -1.962 5.941
Sr Zr N
1 1 2
Direct
0.000 0.000 0.000 Sr
0.500 0.500 0.500 Zr
0.234 0.234 0.234 N
0.766 0.766 0.766 N


[15]
SrZr3N (PBE, optimized geometry); formation energy without anion corrections = -205 meV/atom; distance to the lowest polymorph of the same formula = 0 meV per atom; size of the total moment = 0.00 Bohr magnetons per cell
1.0
4.723 0.000 0.000
0.000 4.723 0.000
0.000 0.000 4.723
Sr Zr N
1 3 1
Direct
0.000 0.000 0.000 Sr
0.000 0.500 0.500 Zr
0.500 0.000 0.500 Zr
0.500 0.500 0.000 Zr
0.500 0.500 0.500 N


[16]
SrZrN (PBE, optimized geometry); formation energy without anion corrections = -702 meV/atom; distance to the lowest polymorph of the same formula = 192 meV per atom; size of the total moment = 0.00 Bohr magnetons per cell
1.0
1.777 1.026 5.902
-1.777 1.026 5.902
0.000 -2.052 5.902
Sr Zr N
1 1 1
Direct
0.000 0.000 0.000 Sr
0.490 0.490 0.490 Zr
0.782 0.782 0.782 N


[17]
SrZrN (PBE, optimized geometry); formation energy without anion corrections = -709 meV/atom; distance to the lowest polymorph of the same formula = 186 meV per atom; size of the total moment = 0.00 Bohr magnetons per cell
1.0
3.481 0.000 0.000
0.000 6.841 0.000
0.000 0.000 5.754
Sr Zr N
2 2 2
Direct
0.000 0.135 0.000 Sr
0.500 0.865 0.500 Sr
0.000 0.407 0.474 Zr
0.500 0.593 0.974 Zr
0.000 0.612 0.754 N
0.500 0.388 0.254 N


[18]
SrZrN (PBE, optimized geometry); formation energy without anion corrections = -735 meV/atom; distance to the lowest polymorph of the same formula = 160 meV per atom; size of the total moment = 0.00 Bohr magnetons per cell
1.0
5.804 0.000 0.000
0.000 3.235 0.000
0.000 0.000 6.861
Sr Zr N
2 2 2
Direct
0.250 0.000 0.148 Sr
0.750 0.000 0.852 Sr
0.250 0.500 0.588 Zr
0.750 0.500 0.412 Zr
0.000 0.000 0.500 N
0.500 0.000 0.500 N


[19]
SrZrN (PBE, optimized geometry); formation energy without anion corrections = -895 meV/atom; distance to the lowest polymorph of the same formula = 0 meV per atom; size of the total moment = 0.00 Bohr magnetons per cell
1.0
3.619 0.000 0.000
0.000 4.518 0.000
0.000 0.000 8.716
Sr Zr N
2 2 2
Direct
0.250 0.250 0.174 Sr
0.750 0.750 0.826 Sr
0.250 0.250 0.563 Zr
0.750 0.750 0.437 Zr
0.250 0.750 0.585 N
0.750 0.250 0.415 N


[20]
Sr3ZrN3 (PBE, optimized geometry); formation energy without anion corrections = -783 meV/atom; distance to the lowest polymorph of the same formula = 0 meV per atom; size of the total moment = 0.44 Bohr magnetons per cell
1.0
8.224 0.000 0.000
-4.112 7.122 0.000
0.000 0.000 5.377
Sr Zr N
6 2 6
Direct
0.110 0.339 0.250 Sr
0.229 0.890 0.250 Sr
0.339 0.229 0.750 Sr
0.661 0.771 0.250 Sr
0.771 0.110 0.750 Sr
0.890 0.661 0.750 Sr
0.333 0.667 0.750 Zr
0.667 0.333 0.250 Zr
0.136 0.383 0.750 N
0.246 0.864 0.750 N
0.383 0.246 0.250 N
0.617 0.754 0.750 N
0.754 0.136 0.250 N
0.864 0.617 0.250 N